# 1
This record from the Open Quantum Materials Database describes PrBi2Pt2 after structural relaxation. The functional is PBE-GGA.

It has space group P4/nmm (No. 129, origin choice 2), with a = 4.861 Å, b = 4.861 Å, c = 10.760 Å, α = 90.00°, β = 90.00° and γ = 90.00°. The distinct sites, in fractional coordinates, are Pr at (0.250, 0.250, 0.223), Bi at (0.250, 0.250, 0.875), Bi at (0.250, 0.750, 0.500), Pt at (0.250, 0.250, 0.628) and Pt at (0.250, 0.750, 0.000).

As for the total energy: -5.546 eV per atom.

=====

# 2
This record from the Open Quantum Materials Database describes TlCuTcTeS2 after structural relaxation. The functional is PBE-GGA.

It has space group Cmcm (No. 63), with a = 3.535 Å, b = 15.817 Å, c = 9.832 Å, α = 90.00°, β = 90.00° and γ = 90.00°. The distinct sites, in fractional coordinates, are Tl at (0.000, 0.219, 0.250), Cu at (0.000, 0.461, 0.750), Tc at (0.000, 0.000, 0.000), Te at (0.000, 0.085, 0.750) and S at (0.000, 0.397, 0.547).

As for the total energy: -4.830 eV per atom.

=====

# 3
This record from the Open Quantum Materials Database describes CsAgSnSe3 after structural relaxation. The functional is PBE-GGA.

It has space group Cmcm (No. 63), with a = 4.070 Å, b = 16.203 Å, c = 11.018 Å, α = 90.00°, β = 90.00° and γ = 90.00°. The distinct sites, in fractional coordinates, are Cs at (0.000, 0.245, 0.250), Ag at (0.000, 0.055, 0.750), Sn at (0.000, 0.500, 0.000), Se at (0.000, 0.117, 0.530) and Se at (0.000, 0.447, 0.750).

As for the total energy: -3.520 eV per atom.